(1)
The following is a PBE calculation of Ca2SnPdN after structural relaxation, from the Alexandria database.

POSCAR file:
```
Ca2SnPdN
1.0
4.851 0.000 0.000
0.000 4.851 0.000
0.000 0.000 4.289
Ca Sn Pd N
2 1 1 1
direct
0.000 0.500 0.000
0.500 0.000 0.000
0.000 0.000 0.500
0.500 0.500 0.500
0.500 0.500 0.000
```

Calculated values
M_tot in μB per cell: 0.0
SG: P4/mmm
Formation energy (no corrections) in eV per atom: -0.5059

***

(2)
The following is a PBE calculation of InGa2Ir2 after structural relaxation, from the Alexandria database.

POSCAR file:
```
InGa2Ir2
1.0
-1.848 1.848 6.251
1.848 -1.848 6.251
1.848 1.848 -6.251
In Ga Ir
1 2 2
direct
0.000 0.000 0.000
0.250 0.750 0.500
0.750 0.250 0.500
0.392 0.392 0.000
0.608 0.608 0.000
```

Calculated values
M_tot in μB per cell: 0.0
SG: I4/mmm
Energy in eV/atom: -5.5821

***

(3)
The following is a PBE calculation of Th6Tc2Te3Ru after structural relaxation, from the Alexandria database.

POSCAR file:
```
Th6Tc2Te3Ru
1.0
9.744 -2.092 0.000
9.744 2.092 0.000
-3.015 0.000 8.556
Th Tc Te Ru
6 2 3 1
direct
0.013 0.013 0.224
0.323 0.323 0.445
0.344 0.344 0.889
0.656 0.656 0.111
0.677 0.677 0.555
0.987 0.987 0.776
0.164 0.164 0.331
0.836 0.836 0.669
0.167 0.167 0.833
0.500 0.500 0.500
0.833 0.833 0.167
0.500 0.500 0.000
```

Calculated values
M_tot in μB per cell: 0.0
SG: C2/m
Formation energy (no corrections) in eV per atom: -0.6908

***

(4)
The following is a PBE calculation of MgCuBiRh after structural relaxation, from the Alexandria database.

POSCAR file:
```
MgCuBiRh
1.0
0.000 3.300 3.300
3.300 0.000 3.300
3.300 3.300 0.000
Mg Cu Bi Rh
1 1 1 1
direct
0.000 0.000 0.000
0.750 0.750 0.750
0.500 0.500 0.500
0.250 0.250 0.250
```

Calculated values
M_tot in μB per cell: 0.0
SG: F-43m
Energy in eV/atom: -4.3328

***

(5)
The following is a PBE calculation of Fe3H12Pd5 after structural relaxation, from the Alexandria database.

POSCAR file:
```
Fe3H12Pd5
1.0
-5.352 5.352 5.352
5.352 -5.352 5.352
5.352 5.352 -5.352
Fe H Pd
12 48 20
direct
0.125 0.250 0.375
0.125 0.375 0.750
0.250 0.375 0.125
0.250 0.875 0.625
0.375 0.125 0.250
0.375 0.750 0.125
0.625 0.250 0.875
0.625 0.875 0.750
0.750 0.125 0.375
0.750 0.625 0.875
0.875 0.625 0.250
0.875 0.750 0.625
0.065 0.229 0.152
0.065 0.336 0.913
0.078 0.729 0.664
0.078 0.848 0.413
0.087 0.652 0.422
0.087 0.935 0.664
0.152 0.065 0.229
0.152 0.587 0.922
0.164 0.229 0.578
0.164 0.435 0.587
0.229 0.152 0.065
0.229 0.578 0.164
0.271 0.336 0.922
0.271 0.435 0.348
0.336 0.913 0.065
0.336 0.922 0.271
0.348 0.271 0.435
0.348 0.578 0.913
0.413 0.078 0.848
0.413 0.836 0.565
0.422 0.087 0.652
0.422 0.836 0.771
0.435 0.348 0.271
0.435 0.587 0.164
0.565 0.413 0.836
0.565 0.652 0.729
0.578 0.164 0.229
0.578 0.913 0.348
0.587 0.164 0.435
0.587 0.922 0.152
0.652 0.422 0.087
0.652 0.729 0.565
0.664 0.078 0.729
0.664 0.087 0.935
0.729 0.565 0.652
0.729 0.664 0.078
0.771 0.422 0.836
0.771 0.848 0.935
0.836 0.565 0.413
0.836 0.771 0.422
0.848 0.413 0.078
0.848 0.935 0.771
0.913 0.065 0.336
0.913 0.348 0.578
0.922 0.152 0.587
0.922 0.271 0.336
0.935 0.664 0.087
0.935 0.771 0.848
0.000 0.000 0.000
0.000 0.000 0.500
0.000 0.500 0.000
0.000 0.500 0.500
0.125 0.750 0.875
0.125 0.875 0.250
0.250 0.125 0.875
0.250 0.625 0.375
0.375 0.250 0.625
0.375 0.625 0.750
0.500 0.000 0.000
0.500 0.000 0.500
0.500 0.500 0.000
0.500 0.500 0.500
0.625 0.375 0.250
0.625 0.750 0.375
0.750 0.375 0.625
0.750 0.875 0.125
0.875 0.125 0.750
0.875 0.250 0.125
```

Calculated values
M_tot in μB per cell: 27.3
SG: Ia-3d
Energy in eV/atom: -4.4688

***

(6)
The following is a PBE calculation of K2SbRu after structural relaxation, from the Alexandria database.

POSCAR file:
```
K2SbRu
1.0
3.860 -2.229 0.000
3.860 2.229 0.000
-2.465 0.000 9.545
K Sb Ru
2 1 1
direct
0.000 0.000 0.000
0.167 0.167 0.523
0.417 0.417 0.261
0.750 0.750 0.262
```

Calculated values
M_tot in μB per cell: 0.0
SG: Cm
Formation energy (no corrections) in eV per atom: 0.1131